Entry from Alexandria via LeMat-Bulk: crystalline Tb4Pm2ErTm at its relaxed geometry (PBE).

Cell: 13.6191 13.2564 6.8067 Å, 90.00 119.97 90.00°
Space group C2/c (No. 15)
Unique sites:
1 Tb 0.0002 0.2453 0.0018 x8
2 Tb 0.2462 0.0026 0.4933 x8
3 Pm 0.0000 0.5000 0.0000 x4
4 Pm 0.2500 0.2500 0.0000 x4
5 Er 0.2500 0.2500 0.5000 x4
6 Tm 0.0000 0.0000 0.0000 x4

## Properties
For the formation energy from the elements, the calculation gives 0.425 eV per atom. Its density of states at the Fermi level is 17.7 states/eV/f.u.